# 1
# Tc2AgOsPd

A relaxed Tc2AgOsPd crystal (PBEsol, Alexandria).

abc: 4.5332 4.5332 4.6452
angles: 90.00 90.00 90.00
With the nearest neighbours (Å) after each atom.
Sites, in units of the cell vectors:
Tc 0.0000 0.5000 0.0000  2 Pd 2.27
Tc 0.5000 0.0000 0.0000  2 Pd 2.27
Ag 0.0000 0.0000 0.5000  2 Pd 2.32
Os 0.5000 0.5000 0.5000  4 Ag 3.21, 8 Tc 3.25
Pd 0.0000 0.0000 0.0000  4 Tc 2.27, 2 Ag 2.32

## Properties
E_form = 2523 meV/atom
calculated density = 10.4 Mg/m³


# 2
# Tl2CrCu

A relaxed Tl2CrCu crystal (PBEsol, Alexandria).

abc: 9.0769 9.0769 9.0769
angles: 20.58 20.58 20.58
With the nearest neighbours (Å) after each atom.
Sites, in units of the cell vectors:
Tl 0.0000 0.0000 0.0000  3 Cr 2.93, 6 Tl 3.24
Tl 0.2274 0.2274 0.2274  3 Cu 2.81
Cr 0.7511 0.7511 0.7511  3 Cu 2.53
Cu 0.4819 0.4819 0.4819  3 Cr 2.53, 3 Tl 2.81

## Properties
E_form = 596 meV/atom
calculated density = 10.8 Mg/m³


# 3
# CaFe2Pt

A relaxed CaFe2Pt crystal (PBEsol, Alexandria).

abc: 3.8579 3.8579 4.1586
angles: 90.00 90.00 90.00
With the nearest neighbours (Å) after each atom.
Sites, in units of the cell vectors:
Ca 0.0000 0.0000 0.0000  4 Pt 2.73, 8 Fe 2.84
Fe 0.0000 0.5000 0.5000  4 Fe 2.73, 4 Ca 2.84, 4 Pt 2.84
Fe 0.5000 0.0000 0.5000  4 Fe 2.73, 4 Ca 2.84, 4 Pt 2.84
Pt 0.5000 0.5000 0.0000  4 Ca 2.73, 8 Fe 2.84

## Properties
E_form = 191 meV/atom
calculated density = 9.3 Mg/m³


# 4
# Y2MgSb

A relaxed Y2MgSb crystal (PBEsol, Alexandria).

abc: 4.3275 6.1392 6.1392
angles: 40.78 90.00 90.00
With the nearest neighbours (Å) after each atom.
Sites, in units of the cell vectors:
Y 0.0000 0.0000 0.0000  4 Mg 3.12, 3 Sb 3.16-3.36
Y 0.5000 0.2892 0.2892  3 Mg 3.13-3.39, 4 Sb 3.13
Mg 0.5000 0.5610 0.5610  2 Sb 2.88, 5 Y 3.12-3.13
Sb 0.0000 0.7255 0.7255  2 Mg 2.88, 5 Y 3.13-3.16

## Properties
calculated density = 5.0 Mg/m³
E above lowest polymorph = 0.000 eV/atom


# 5
# FeSi3Ir

A relaxed FeSi3Ir crystal (PBEsol, Alexandria).

abc: 4.1952 4.1952 4.1952
angles: 90.00 90.00 90.00
With the nearest neighbours (Å) after each atom.
Sites, in units of the cell vectors:
Fe 0.0000 0.0000 0.0000  6 Si 2.10
Si 0.0000 0.0000 0.5000  2 Fe 2.10
Si 0.0000 0.5000 0.0000  2 Fe 2.10
Si 0.5000 0.0000 0.0000  2 Fe 2.10
Ir 0.5000 0.5000 0.5000  12 Si 2.97

## Properties
calculated density = 7.5 Mg/m³
uncorrected energy = -6.7312 eV/atom


# 6
# LaInAs4

A relaxed LaInAs4 crystal (PBEsol, Alexandria).

abc: 5.6976 5.6976 5.6976
angles: 60.00 60.00 60.00
With the nearest neighbours (Å) after each atom.
Sites, in units of the cell vectors:
La 0.0000 0.0000 0.0000  12 As 3.35, 4 In 3.49
In 0.7500 0.7500 0.7500  12 As 3.33, 4 La 3.49
As 0.3780 0.3780 0.3780  6 As 2.78-2.92
As 0.3780 0.3780 0.8659  6 As 2.78-2.92
As 0.3780 0.8659 0.3780  6 As 2.78-2.92
As 0.8659 0.3780 0.3780  6 As 2.78-2.92

## Properties
E_form = -331 meV/atom
calculated density = 7.0 Mg/m³


Q: What is the calculated density in the fourth record?
A: 5.0 Mg/m³


Q: Which of these has the lowest calculated density?
A: Y2MgSb


Q: calculated density of number 4 (Y2MgSb)?
A: 5.0 Mg/m³


Q: Number 3 is which compound?
A: CaFe2Pt